(1)
First-principles (PBEsol) data for a relaxed Tb2Ti2O7 crystal, as listed in Alexandria.

Calculated values
raw formation energy	-3.3988	eV/atom
M_tot	0.000	Bohr magnetons per cell

CIF file:
```
data_Tb2Ti2O7
_chemical_formula_sum 'Tb8 Ti8 O28'
_cell_length_a 7.471
_cell_length_b 5.305
_cell_length_c 13.014
_cell_angle_alpha 90.00
_cell_angle_beta 98.41
_cell_angle_gamma 90.00
_symmetry_space_group_name_H-M 'P 1 21 1'
_symmetry_Int_Tables_number 4
_symmetry_space_group_name_Hall 'P 2yb'
loop_
_atom_site_label
_atom_site_type_symbol
_atom_site_fract_x
_atom_site_fract_y
_atom_site_fract_z
Tb1 Tb 0.142 0.000 0.064
Tb2 Tb 0.233 0.591 0.423
Tb3 Tb 0.285 0.114 0.632
Tb4 Tb 0.353 0.579 0.885
Ti1 Ti 0.030 0.594 0.622
Ti2 Ti 0.071 0.076 0.820
Ti3 Ti 0.411 0.567 0.172
Ti4 Ti 0.470 0.094 0.375
O1 O 0.012 0.927 0.679
O2 O 0.057 0.321 0.524
O3 O 0.075 0.797 0.907
O4 O 0.129 0.405 0.733
O5 O 0.138 0.294 0.932
O6 O 0.173 0.685 0.187
O7 O 0.221 0.016 0.385
O8 O 0.273 0.704 0.591
O9 O 0.327 0.983 0.805
O10 O 0.367 0.265 0.116
O11 O 0.412 0.772 0.053
O12 O 0.424 0.429 0.322
O13 O 0.456 0.324 0.525
O14 O 0.487 0.405 0.736
```

---

(2)
First-principles (PBEsol) data for a relaxed Tb10Ti6O27 crystal, as listed in Alexandria.

Calculated values
raw formation energy	-3.3664	eV/atom
M_tot	0.000	Bohr magnetons per cell

CIF file:
```
data_Tb10Ti6O27
_chemical_formula_sum 'Tb20 Ti12 O54'
_cell_length_a 12.735
_cell_length_b 7.217
_cell_length_c 12.475
_cell_angle_alpha 90.00
_cell_angle_beta 110.89
_cell_angle_gamma 90.00
_symmetry_space_group_name_H-M 'C 1 m 1'
_symmetry_Int_Tables_number 8
_symmetry_space_group_name_Hall 'C -2y'
loop_
_atom_site_label
_atom_site_type_symbol
_atom_site_fract_x
_atom_site_fract_y
_atom_site_fract_z
Tb1 Tb 0.000 0.000 0.000
Tb2 Tb 0.001 0.500 0.464
Tb3 Tb 0.011 0.500 0.957
Tb4 Tb 0.232 0.000 0.242
Tb5 Tb 0.259 0.253 0.980
Tb6 Tb 0.268 0.500 0.730
Tb7 Tb 0.275 0.252 0.501
Tb8 Tb 0.276 0.500 0.239
Ti1 Ti 0.007 0.262 0.227
Ti2 Ti 0.015 0.244 0.738
Ti3 Ti 0.253 0.000 0.727
Ti4 Ti 0.499 0.500 0.479
O1 O 0.024 0.500 0.775
O2 O 0.037 0.000 0.193
O3 O 0.070 0.210 0.914
O4 O 0.160 0.000 0.559
O5 O 0.165 0.284 0.289
O6 O 0.166 0.229 0.756
O7 O 0.184 0.500 0.543
O8 O 0.192 0.500 0.048
O9 O 0.313 0.000 0.892
O10 O 0.314 0.221 0.170
O11 O 0.316 0.000 0.422
O12 O 0.323 0.500 0.918
O13 O 0.337 0.200 0.696
O14 O 0.337 0.500 0.438
O15 O 0.449 0.500 0.734
O16 O 0.464 0.213 0.067
O17 O 0.473 0.250 0.572
O18 O 0.490 0.319 0.370
O19 O 0.492 0.000 0.282
```

---

(3)
First-principles (PBEsol) data for a relaxed TbTmO3 crystal, as listed in Alexandria.

Calculated values
raw formation energy	-3.5941	eV/atom
M_tot	0.000	Bohr magnetons per cell

CIF file:
```
data_TbTmO3
_chemical_formula_sum 'Tb4 Tm4 O12'
_cell_length_a 5.850
_cell_length_b 8.238
_cell_length_c 5.576
_cell_angle_alpha 90.00
_cell_angle_beta 90.00
_cell_angle_gamma 90.00
_symmetry_space_group_name_H-M 'P n m a'
_symmetry_Int_Tables_number 62
_symmetry_space_group_name_Hall '-P 2ac 2n'
loop_
_atom_site_label
_atom_site_type_symbol
_atom_site_fract_x
_atom_site_fract_y
_atom_site_fract_z
Tb1 Tb 0.057 0.250 0.022
Tm1 Tm 0.000 0.000 0.500
O1 O 0.074 0.750 0.353
O2 O 0.192 0.579 0.812
```

---

(4)
First-principles (PBEsol) data for a relaxed TbVO4 crystal, as listed in Alexandria.

Calculated values
raw formation energy	-3.0578	eV/atom
M_tot	0.001	Bohr magnetons per cell

CIF file:
```
data_TbVO4
_chemical_formula_sum 'Tb4 V4 O16'
_cell_length_a 7.136
_cell_length_b 7.136
_cell_length_c 6.253
_cell_angle_alpha 90.00
_cell_angle_beta 90.00
_cell_angle_gamma 90.00
_symmetry_space_group_name_H-M 'I 41/a m d'
_symmetry_Int_Tables_number 141
loop_
_symmetry_equiv_pos_as_xyz
'x,y,z'
'-x,-y,-z'
'-y+1/4,x+3/4,z+1/4'
'y+1/4,-x+3/4,-z+1/4'
'-x+1/2,-y,z+1/2'
'x+1/2,y,-z+1/2'
'y+1/4,-x+1/4,z+3/4'
'-y+1/4,x+1/4,-z+3/4'
'x,-y,-z'
'-x,y,z'
'-y+1/4,-x+1/4,-z+3/4'
'y+1/4,x+1/4,z+3/4'
'-x+1/2,y,-z+1/2'
'x+1/2,-y,z+1/2'
'y+1/4,x+3/4,-z+1/4'
'-y+1/4,-x+3/4,z+1/4'
'x+1/2,y+1/2,z+1/2'
'-x+1/2,-y+1/2,-z+1/2'
'-y+3/4,x+1/4,z+3/4'
'y+3/4,-x+1/4,-z+3/4'
'-x,-y+1/2,z'
'x,y+1/2,-z'
'y+3/4,-x+3/4,z+1/4'
'-y+3/4,x+3/4,-z+1/4'
'x+1/2,-y+1/2,-z+1/2'
'-x+1/2,y+1/2,z+1/2'
'-y+3/4,-x+3/4,-z+1/4'
'y+3/4,x+3/4,z+1/4'
'-x,y+1/2,-z'
'x,-y+1/2,z'
'y+3/4,x+1/4,-z+3/4'
'-y+3/4,-x+1/4,z+3/4'
loop_
_atom_site_label
_atom_site_type_symbol
_atom_site_fract_x
_atom_site_fract_y
_atom_site_fract_z
Tb1 Tb 0.000 0.250 0.375
V1 V 0.000 0.250 0.875
O1 O 0.000 0.066 0.700
```

---

(5)
First-principles (PBEsol) data for a relaxed Tb2WO6 crystal, as listed in Alexandria.

Calculated values
raw formation energy	-3.0903	eV/atom
ΔE to the lowest computed polymorph	0	meV per atom
M_tot	0.000	Bohr magnetons per cell

CIF file:
```
data_Tb2WO6
_chemical_formula_sum 'Tb8 W4 O24'
_cell_length_a 7.622
_cell_length_b 5.335
_cell_length_c 11.344
_cell_angle_alpha 90.00
_cell_angle_beta 104.58
_cell_angle_gamma 90.00
_symmetry_space_group_name_H-M 'P 1 2/c 1'
_symmetry_Int_Tables_number 13
_symmetry_space_group_name_Hall '-P 2yc'
loop_
_atom_site_label
_atom_site_type_symbol
_atom_site_fract_x
_atom_site_fract_y
_atom_site_fract_z
Tb1 Tb 0.000 0.181 0.250
Tb2 Tb 0.297 0.315 0.923
Tb3 Tb 0.500 0.237 0.250
W1 W 0.222 0.246 0.614
O1 O 0.011 0.143 0.888
O2 O 0.133 0.346 0.451
O3 O 0.212 0.485 0.229
O4 O 0.285 0.038 0.771
O5 O 0.353 0.023 0.070
O6 O 0.436 0.462 0.603
```

---

(6)
First-principles (PBEsol) data for a relaxed Tb2WO6 crystal, as listed in Alexandria.

Calculated values
raw formation energy	-3.0750	eV/atom
ΔE to the lowest computed polymorph	15	meV per atom
M_tot	0.000	Bohr magnetons per cell

CIF file:
```
data_Tb2WO6
_chemical_formula_sum 'Tb8 W4 O24'
_cell_length_a 5.223
_cell_length_b 9.053
_cell_length_c 9.867
_cell_angle_alpha 90.00
_cell_angle_beta 90.00
_cell_angle_gamma 90.00
_symmetry_space_group_name_H-M 'P 21 21 21'
_symmetry_Int_Tables_number 19
_symmetry_space_group_name_Hall 'P 2ac 2ab'
loop_
_atom_site_label
_atom_site_type_symbol
_atom_site_fract_x
_atom_site_fract_y
_atom_site_fract_z
Tb1 Tb 0.021 0.103 0.466
Tb2 Tb 0.038 0.220 0.872
W1 W 0.041 0.496 0.348
O1 O 0.079 0.844 0.029
O2 O 0.176 0.952 0.296
O3 O 0.180 0.636 0.819
O4 O 0.191 0.641 0.235
O5 O 0.231 0.113 0.066
O6 O 0.250 0.409 0.994
```

---

Copy entry 2 word for word.
First-principles (PBEsol) data for a relaxed Tb10Ti6O27 crystal, as listed in Alexandria.

Calculated values
raw formation energy	-3.3664	eV/atom
M_tot	0.000	Bohr magnetons per cell

CIF file:
```
data_Tb10Ti6O27
_chemical_formula_sum 'Tb20 Ti12 O54'
_cell_length_a 12.735
_cell_length_b 7.217
_cell_length_c 12.475
_cell_angle_alpha 90.00
_cell_angle_beta 110.89
_cell_angle_gamma 90.00
_symmetry_space_group_name_H-M 'C 1 m 1'
_symmetry_Int_Tables_number 8
_symmetry_space_group_name_Hall 'C -2y'
loop_
_atom_site_label
_atom_site_type_symbol
_atom_site_fract_x
_atom_site_fract_y
_atom_site_fract_z
Tb1 Tb 0.000 0.000 0.000
Tb2 Tb 0.001 0.500 0.464
Tb3 Tb 0.011 0.500 0.957
Tb4 Tb 0.232 0.000 0.242
Tb5 Tb 0.259 0.253 0.980
Tb6 Tb 0.268 0.500 0.730
Tb7 Tb 0.275 0.252 0.501
Tb8 Tb 0.276 0.500 0.239
Ti1 Ti 0.007 0.262 0.227
Ti2 Ti 0.015 0.244 0.738
Ti3 Ti 0.253 0.000 0.727
Ti4 Ti 0.499 0.500 0.479
O1 O 0.024 0.500 0.775
O2 O 0.037 0.000 0.193
O3 O 0.070 0.210 0.914
O4 O 0.160 0.000 0.559
O5 O 0.165 0.284 0.289
O6 O 0.166 0.229 0.756
O7 O 0.184 0.500 0.543
O8 O 0.192 0.500 0.048
O9 O 0.313 0.000 0.892
O10 O 0.314 0.221 0.170
O11 O 0.316 0.000 0.422
O12 O 0.323 0.500 0.918
O13 O 0.337 0.200 0.696
O14 O 0.337 0.500 0.438
O15 O 0.449 0.500 0.734
O16 O 0.464 0.213 0.067
O17 O 0.473 0.250 0.572
O18 O 0.490 0.319 0.370
O19 O 0.492 0.000 0.282
```

---

Q: raw formation energy of number 5 (Tb2WO6)?
A: -3.0903 eV/atom